Entry 1:
Compound: Ba8HgPd2
Source: Alexandria
Functional: PBE
Structure: optimized geometry Values from VASP.

```
&SYSTEM
  ibrav = 0, nat = 11, ntyp = 3
/
ATOMIC_SPECIES
Hg 200.59 Hg.upf
Ba 137.33 Ba.upf
Pd 106.42 Pd.upf
CELL_PARAMETERS angstrom
-1.231 -6.641 -0.523
7.635 -1.940 6.660
-9.601 1.508 3.455
ATOMIC_POSITIONS angstrom
Hg -9.601 1.508 3.455
Ba -7.078 -0.753 3.858
Pd 0.965 -5.780 5.198
Ba -0.972 -5.560 7.496
Ba 1.585 -2.435 5.462
Ba 3.881 -6.321 5.734
Ba -3.204 -1.736 7.217
Ba 0.007 -5.338 2.376
Ba -2.225 -1.514 2.096
Ba -4.782 -4.638 4.130
Pd -4.162 -1.294 4.394
```

Results
* calculated volume: 56.7 Å³ per atom
* DFT total energy: -2.519 eV/atom
* crystal system: trigonal
* space group: P-3 (147)
* ΔH_f (0 K): -1.6 eV/f.u.
* Fermi-level density of states: 11.8 states/eV per cell

***

Entry 2:
Compound: Ba2Hg4Pd5
Source: Alexandria
Functional: PBE
Structure: optimized geometry Values from VASP.

```
&SYSTEM
  ibrav = 0, nat = 11, ntyp = 3
/
ATOMIC_SPECIES
Pd 106.42 Pd.upf
Hg 200.59 Hg.upf
Ba 137.33 Ba.upf
CELL_PARAMETERS angstrom
-2.805 -3.585 3.945
-3.473 -4.435 -1.901
5.431 -7.142 1.970
ATOMIC_POSITIONS angstrom
Pd -1.736 -2.217 -0.950
Pd -1.402 -1.793 1.973
Hg -0.320 -4.016 0.722
Pd 0.278 -6.685 1.021
Pd -3.139 -4.010 1.022
Ba 3.648 -5.747 1.970
Pd -1.125 -8.477 2.993
Hg -2.457 -6.745 1.321
Ba -1.023 -4.981 3.944
Hg -0.527 -11.146 3.292
Hg 1.610 -8.417 2.693
```

Results
* calculated volume: 24.4 Å³ per atom
* DFT total energy: -3.251 eV/atom
* crystal system: orthorhombic
* space group: Fmmm (69)
* ΔH_f (0 K): -4.7 eV/f.u.
* Fermi-level density of states: 4.5 states/eV per cell

***

Entry 3:
Compound: Ba8Hg2Pd
Source: Alexandria
Functional: PBE
Structure: optimized geometry Values from VASP.

```
&SYSTEM
  ibrav = 0, nat = 11, ntyp = 3
/
ATOMIC_SPECIES
Hg 200.59 Hg.upf
Ba 137.33 Ba.upf
Pd 106.42 Pd.upf
CELL_PARAMETERS angstrom
-8.006 -0.385 -0.159
-1.899 -7.219 -4.962
-2.132 -6.722 5.533
ATOMIC_POSITIONS angstrom
Hg -7.167 -9.738 0.302
Ba -4.109 -8.126 0.294
Ba -7.928 -6.200 0.118
Ba -3.269 -5.184 -2.948
Hg -4.871 -4.588 0.109
Ba -9.477 -12.427 0.378
Ba -8.630 -9.436 -2.865
Ba -8.768 -9.141 3.359
Pd 0.000 0.000 0.000
Ba -3.407 -4.890 3.277
Ba -2.561 -1.899 0.033
```

Results
* calculated volume: 52.6 Å³ per atom
* DFT total energy: -2.200 eV/atom
* crystal system: monoclinic
* space group: C2/m (12)
* energy above the most stable polymorph in this dataset: 0.0 meV/atom
* ΔH_f (0 K): -3.0 eV/f.u.
* Fermi-level density of states: 13.5 states/eV per cell

***

Q: Which value of calculated volume does entry 1 give?
A: 56.7 Å³ per atom

***

Q: Number 3 is which compound?
A: Ba8Hg2Pd

***

Repeat the first record exactly.
Compound: Ba8HgPd2
Source: Alexandria
Functional: PBE
Structure: optimized geometry Values from VASP.

```
&SYSTEM
  ibrav = 0, nat = 11, ntyp = 3
/
ATOMIC_SPECIES
Hg 200.59 Hg.upf
Ba 137.33 Ba.upf
Pd 106.42 Pd.upf
CELL_PARAMETERS angstrom
-1.231 -6.641 -0.523
7.635 -1.940 6.660
-9.601 1.508 3.455
ATOMIC_POSITIONS angstrom
Hg -9.601 1.508 3.455
Ba -7.078 -0.753 3.858
Pd 0.965 -5.780 5.198
Ba -0.972 -5.560 7.496
Ba 1.585 -2.435 5.462
Ba 3.881 -6.321 5.734
Ba -3.204 -1.736 7.217
Ba 0.007 -5.338 2.376
Ba -2.225 -1.514 2.096
Ba -4.782 -4.638 4.130
Pd -4.162 -1.294 4.394
```

Results
* calculated volume: 56.7 Å³ per atom
* DFT total energy: -2.519 eV/atom
* crystal system: trigonal
* space group: P-3 (147)
* ΔH_f (0 K): -1.6 eV/f.u.
* Fermi-level density of states: 11.8 states/eV per cell